[1]
Entry from the Open Quantum Materials Database: a relaxed structure of TlAsW (GGA-PBE).

Values from the calculation:
The energy is -5.49 eV per atom. The calculation puts the density at 11.97 g/cm³.

The structure in POSCAR format:
```
TlAsW
1.0
0.000 3.179 3.179
3.179 0.000 3.179
3.179 3.179 0.000
Tl As W
1 1 1
Direct
0.000 0.000 0.000
0.250 0.250 0.250
0.500 0.500 0.500
```

[2]
Entry from the Open Quantum Materials Database: a relaxed structure of TlZn4As3 (GGA-PBE).

Values from the calculation:
The energy is -2.79 eV per atom. The calculation puts the density at 6.66 g/cm³.

The structure in POSCAR format:
```
TlZn4As3
1.0
4.129 0.000 0.000
0.000 4.129 0.000
0.000 0.000 10.101
Tl Zn As
1 4 3
Direct
0.000 0.000 0.000
0.000 0.500 0.334
0.000 0.500 0.666
0.500 0.000 0.334
0.500 0.000 0.666
0.000 0.000 0.500
0.500 0.500 0.190
0.500 0.500 0.810
```

[3]
Entry from the Open Quantum Materials Database: a relaxed structure of TlZnAs2 (GGA-PBE).

Values from the calculation:
The energy is -2.89 eV per atom. The calculation puts the density at 8.12 g/cm³.

The structure in POSCAR format:
```
TlZnAs2
1.0
0.000 3.501 3.501
3.501 0.000 3.501
3.501 3.501 0.000
Tl Zn As
1 1 2
Direct
0.000 0.000 0.000
0.250 0.250 0.250
0.500 0.500 0.500
0.750 0.750 0.750
```

[4]
Entry from the Open Quantum Materials Database: a relaxed structure of Zr3TlAs (GGA-PBE).

Values from the calculation:
The energy is -6.98 eV per atom. The calculation puts the density at 8.10 g/cm³.

The structure in POSCAR format:
```
Zr3TlAs
1.0
1.884 -5.926 0.000
1.884 5.926 0.000
0.000 0.000 10.149
Zr Tl As
6 2 2
Direct
0.042 0.958 0.750
0.353 0.647 0.558
0.353 0.647 0.942
0.647 0.353 0.058
0.647 0.353 0.442
0.958 0.042 0.250
0.259 0.741 0.250
0.741 0.259 0.750
0.000 0.000 0.000
0.000 0.000 0.500
```